Entry 1:
VASP calculation (GGA-PBE) on a geometry-optimized MnH2Br2 structure.

Total magnetization (μB per cell): 0.0
DFT total energy (eV/atom): -2.763
Symmetry: I4/mmm (139)
Offset from the most stable computed form (meV/atom): 1160.8

Lattice parameters (Å, degrees): 6.911 6.911 6.911 154.07 154.07 36.99
Element x y z (fractional)
Mn 0.000 0.000 0.000
H 0.250 0.750 0.500
H 0.750 0.250 0.500
Br 0.382 0.382 0.000
Br 0.618 0.618 0.000

Entry 2:
VASP calculation (GGA-PBE) on a geometry-optimized Mn2HBr structure.

Total magnetization (μB per cell): 2.4
DFT total energy (eV/atom): -4.746
Symmetry: Fm-3m (225)
Offset from the most stable computed form (meV/atom): 811.2

Lattice parameters (Å, degrees): 3.955 3.955 3.955 60.00 60.00 60.00
Element x y z (fractional)
Mn 0.250 0.250 0.250
Mn 0.750 0.750 0.750
H 0.000 0.000 0.000
Br 0.500 0.500 0.500

Entry 3:
VASP calculation (GGA-PBE) on a geometry-optimized MnHBr2 structure.

Total magnetization (μB per cell): 0.0
DFT total energy (eV/atom): -3.088
Symmetry: Fm-3m (225)

Lattice parameters (Å, degrees): 4.362 4.362 4.362 60.00 60.00 60.00
Element x y z (fractional)
Mn 0.000 0.000 0.000
H 0.500 0.500 0.500
Br 0.250 0.250 0.250
Br 0.750 0.750 0.750

Entry 4:
VASP calculation (GGA-PBE) on a geometry-optimized MnH2Br3 structure.

Total magnetization (μB per cell): 8.0
DFT total energy (eV/atom): -3.783
Symmetry: P-1 (2)

Lattice parameters (Å, degrees): 5.955 6.590 9.804 71.77 89.62 89.82
Element x y z (fractional)
Mn 0.088 0.244 0.010
Mn 0.912 0.756 0.990
H 0.084 0.804 0.394
H 0.312 0.133 0.079
H 0.688 0.867 0.921
H 0.916 0.196 0.606
Br 0.177 0.053 0.836
Br 0.190 0.483 0.145
Br 0.275 0.755 0.488
Br 0.725 0.245 0.512
Br 0.810 0.517 0.855
Br 0.823 0.947 0.164

Please write out number 3 again, unchanged.
VASP calculation (GGA-PBE) on a geometry-optimized MnHBr2 structure.

Total magnetization (μB per cell): 0.0
DFT total energy (eV/atom): -3.088
Symmetry: Fm-3m (225)

Lattice parameters (Å, degrees): 4.362 4.362 4.362 60.00 60.00 60.00
Element x y z (fractional)
Mn 0.000 0.000 0.000
H 0.500 0.500 0.500
Br 0.250 0.250 0.250
Br 0.750 0.750 0.750

Number 1 is which compound? MnH2Br2